## GaAgAs (PBE)

Data for GaAgAs after structural relaxation.

Computed properties:
total DFT energy (no corrections): -3.383 eV per atom

Unit cell a=4.5214 b=4.5214 c=4.5214 alpha=60.00 beta=60.00 gamma=60.00
Sites, in units of the cell vectors:
Ga (0.0000, 0.0000, 0.0000)
Ag (0.5000, 0.5000, 0.5000)
As (0.7500, 0.7500, 0.7500)


## NbCdOs2 (PBE)

Data for NbCdOs2 after structural relaxation.

Computed properties:
energy of formation from the pure elements: 0.58 eV per atom

Unit cell a=4.5340 b=4.5340 c=4.5340 alpha=60.00 beta=60.00 gamma=60.00
Sites, in units of the cell vectors:
Nb (0.0000, 0.0000, 0.0000)
Cd (0.2500, 0.2500, 0.2500)
Os (0.5000, 0.5000, 0.5000)
Os (0.7500, 0.7500, 0.7500)